# TiGaAu | Alexandria | PBE | optimized geometry
# D(E_F)	14.76	states/eV per cell
# formation energy from the elements	-0.1643	eV per atom
# spin magnetization	0.00	μB per cell
data_TiGaAu
_cell_length_a 4.7384
_cell_length_b 4.7384
_cell_length_c 16.6603
_cell_angle_alpha 90.00
_cell_angle_beta 90.00
_cell_angle_gamma 120.00
_symmetry_space_group_name_H-M 'R -3 m'
_symmetry_Int_Tables_number 166
_symmetry_space_group_name_Hall '-R 3 2"'
loop_
_atom_site_label
_atom_site_fract_x
_atom_site_fract_y
_atom_site_fract_z
Ti1 0.0000 0.0000 0.2493
Ga1 0.0000 0.0000 0.0837
Au1 0.0000 0.0000 0.4139

=====

# Ti4Ga2Au | Alexandria | PBE | optimized geometry
# D(E_F)	15.28	states/eV per cell
# formation energy from the elements	-0.2347	eV per atom
# spin magnetization	0.00	μB per cell
data_Ti4Ga2Au
_cell_length_a 6.8710
_cell_length_b 5.4416
_cell_length_c 7.1751
_cell_angle_alpha 90.00
_cell_angle_beta 117.56
_cell_angle_gamma 90.00
_symmetry_space_group_name_H-M 'P 1 21/m 1'
_symmetry_Int_Tables_number 11
_symmetry_space_group_name_Hall '-P 2yb'
loop_
_atom_site_label
_atom_site_fract_x
_atom_site_fract_y
_atom_site_fract_z
Ti1 0.0035 0.2500 0.4746
Ti2 0.1431 0.0015 0.2205
Ti3 0.2745 0.2500 0.8988
Ga1 0.2514 0.7500 0.9462
Ga2 0.4367 0.2500 0.6125
Au1 0.4363 0.7500 0.6789

=====

# TiGaAu3 | Alexandria | PBE | optimized geometry
# D(E_F)	2.99	states/eV per cell
# formation energy from the elements	0.5120	eV per atom
# ΔE to the lowest computed polymorph	3.79	eV/f.u.
# spin magnetization	1.19	μB per cell
data_TiGaAu3
_cell_length_a 5.0719
_cell_length_b 5.0719
_cell_length_c 5.0719
_cell_angle_alpha 90.00
_cell_angle_beta 90.00
_cell_angle_gamma 90.00
_symmetry_space_group_name_H-M 'P m -3 m'
_symmetry_Int_Tables_number 221
_symmetry_space_group_name_Hall '-P 4 2 3'
loop_
_atom_site_label
_atom_site_fract_x
_atom_site_fract_y
_atom_site_fract_z
Ti1 0.0000 0.0000 0.0000
Ga1 0.5000 0.5000 0.5000
Au1 0.0000 0.0000 0.5000

=====

# TiGaAu2 | Alexandria | PBE | optimized geometry
# D(E_F)	6.74	states/eV per cell
# formation energy from the elements	0.0011	eV per atom
# spin magnetization	0.78	μB per cell
data_TiGaAu2
_cell_length_a 2.8106
_cell_length_b 4.8781
_cell_length_c 10.9400
_cell_angle_alpha 90.00
_cell_angle_beta 90.00
_cell_angle_gamma 90.00
_symmetry_space_group_name_H-M 'I m m m'
_symmetry_Int_Tables_number 71
_symmetry_space_group_name_Hall '-I 2 2'
loop_
_atom_site_label
_atom_site_fract_x
_atom_site_fract_y
_atom_site_fract_z
Ti1 0.0000 0.0000 0.0000
Ga1 0.0000 0.0000 0.5000
Au1 0.0000 0.0000 0.2454

=====

# Ti2GaAu6 | Alexandria | PBE | optimized geometry
# D(E_F)	9.44	states/eV per cell
# formation energy from the elements	-0.2899	eV per atom
# ΔE to the lowest computed polymorph	0.00	eV/f.u.
# spin magnetization	0.00	μB per cell
data_Ti2GaAu6
_cell_length_a 4.9415
_cell_length_b 14.8319
_cell_length_c 4.8950
_cell_angle_alpha 90.00
_cell_angle_beta 119.19
_cell_angle_gamma 90.00
_symmetry_space_group_name_H-M 'C 1 2/m 1'
_symmetry_Int_Tables_number 12
_symmetry_space_group_name_Hall '-C 2y'
loop_
_atom_site_label
_atom_site_fract_x
_atom_site_fract_y
_atom_site_fract_z
Ti1 0.0000 0.1646 0.0000
Ga1 0.0000 0.0000 0.5000
Au1 0.1668 0.3333 0.3301
Au2 0.1762 0.5000 0.8324

=====

# Ti4Ga4Au3 | Alexandria | PBE | optimized geometry
# D(E_F)	10.72	states/eV per cell
# formation energy from the elements	-0.3116	eV per atom
# spin magnetization	0.00	μB per cell
data_Ti4Ga4Au3
_cell_length_a 8.0120
_cell_length_b 2.8260
_cell_length_c 9.1174
_cell_angle_alpha 90.00
_cell_angle_beta 110.40
_cell_angle_gamma 90.00
_symmetry_space_group_name_H-M 'P 1 2/m 1'
_symmetry_Int_Tables_number 10
_symmetry_space_group_name_Hall '-P 2y'
loop_
_atom_site_label
_atom_site_fract_x
_atom_site_fract_y
_atom_site_fract_z
Ti1 0.0521 0.0000 0.2233
Ti2 0.4449 0.0000 0.2613
Ga1 0.1818 0.5000 0.0267
Ga2 0.2218 0.5000 0.7242
Au1 0.3077 0.5000 0.4658
Au2 0.5000 0.5000 0.0000